Material: GePtPb2O6
Method: DFT, PBE
State: optimized geometry

Values from the calculation:
The energy above the most stable polymorph in this dataset is 0.000 eV/atom. The calculation puts the total magnetization at 0.00 μB/f.u. The density is 10.46 g/cm³. The volume is 12.4 A^3/atom. As for the space-group type: No. 148.

```
10
Lattice="2.829 1.633 4.457 -2.829 1.633 4.457 0.000 -3.267 4.457" Properties=species:S:1:pos:R:3 pbc="T T T"
Pb 0.000 0.000 10.048
Pt 0.000 0.000 6.686
Ge 0.000 0.000 0.000
O -1.291 1.170 5.555
O 0.368 1.703 7.816
O 1.659 0.533 5.555
O -1.659 -0.533 7.816
O -0.368 -1.703 5.555
O 1.291 -1.170 7.816
Pb 0.000 0.000 3.323
```